Computed, not measured: crystalline SrBi3Cl3O4 at its relaxed geometry at the PBE-GGA level of DFT.

## Properties
- total moment (μB/atom) = 0.00
- uncorrected formation energy (eV per atom) = -1.58
- E (eV per cell) = -56.05
- Fermi-level density of states (states/eV/cell) = 0.060

a = 14.2567 Å, b = 14.2567 Å, c = 14.2567 Å
α = 163.98°, β = 163.98°, γ = 22.74°
Closest atoms and distances in Å follow each position.
Sites, in units of the cell vectors:
Sr 0.0000 0.0000 0.0000  4 O 2.50
Bi 0.3323 0.3323 0.0000  4 O 2.38
Bi 0.5898 0.5898 0.0000  4 O 2.22
Bi 0.7424 0.7424 0.0000  4 O 2.32
Cl 0.1876 0.1876 0.0000  4 Bi 3.20, 4 O 3.38
Cl 0.4510 0.4510 0.0000  4 Sr 3.13, 1 Bi 3.32
Cl 0.8747 0.8747 0.0000  4 Bi 3.05, 4 O 3.19
O 0.0543 0.5543 0.5000  2 Bi 2.22
O 0.2853 0.7853 0.5000  4 Bi 2.32-2.38
O 0.5543 0.0543 0.5000  2 Bi 2.22
O 0.7853 0.2853 0.5000  4 Bi 2.32-2.38